Model A:
This record from OQMD via LeMat-Bulk describes KTaTc after structural relaxation. The functional is GGA-PBE.

Crystal system: cubic

Unit cell a=6.4856 b=6.4856 c=6.4856 alpha=90.00 beta=90.00 gamma=90.00
Space group F-43m (No. 216)
Symmetry-distinct sites (fractional):
K  0.0000  0.0000  0.0000 [4 per cell]
Ta  0.0000  0.0000  0.5000 [4 per cell]
Tc  0.2500  0.2500  0.7500 [4 per cell]

Model B:
This record from OQMD via LeMat-Bulk describes KTaTc after structural relaxation. The functional is GGA-PBE.

Crystal system: cubic

Unit cell a=6.5691 b=6.5691 c=6.5691 alpha=90.00 beta=90.00 gamma=90.00
Space group F-43m (No. 216)
Symmetry-distinct sites (fractional):
K  0.0000  0.0000  0.0000 [4 per cell]
Ta  0.2500  0.2500  0.7500 [4 per cell]
Tc  0.2500  0.2500  0.2500 [4 per cell]

The structure with the least stability is model B.

Model A:
This record from OQMD via LeMat-Bulk describes KTbZr after structural relaxation. The functional is GGA-PBE.

Crystal system: orthorhombic

Unit cell a=3.1533 b=17.7126 c=10.2399 alpha=90.00 beta=90.00 gamma=90.00
Space group Amm2 (No. 38)
Symmetry-distinct sites (fractional):
K  0.0000  0.0000  0.0000 [2 per cell]
K  0.0000  0.1648  0.4955 [4 per cell]
Tb  0.5000  0.0000  0.6680 [2 per cell]
Tb  0.5000  0.1687  0.1617 [4 per cell]
Zr  0.0000  0.0000  0.3297 [2 per cell]
Zr  0.0000  0.1668  0.8304 [4 per cell]

Model B:
This record from OQMD via LeMat-Bulk describes KTbZr after structural relaxation. The functional is GGA-PBE.

Crystal system: cubic

Unit cell a=8.0018 b=8.0018 c=8.0018 alpha=90.00 beta=90.00 gamma=90.00
Space group F-43m (No. 216)
Symmetry-distinct sites (fractional):
K  0.0000  0.0000  0.0000 [4 per cell]
Tb  0.0000  0.0000  0.5000 [4 per cell]
Zr  0.2500  0.2500  0.2500 [4 per cell]

The structure with the least stability is model B.

Model A:
This record from OQMD via LeMat-Bulk describes KTlW after structural relaxation. The functional is GGA-PBE.

Crystal system: cubic

Unit cell a=7.2746 b=7.2746 c=7.2746 alpha=90.00 beta=90.00 gamma=90.00
Space group F-43m (No. 216)
Symmetry-distinct sites (fractional):
K  0.0000  0.0000  0.0000 [4 per cell]
Tl  0.2500  0.2500  0.2500 [4 per cell]
W  0.0000  0.0000  0.5000 [4 per cell]

Model B:
This record from OQMD via LeMat-Bulk describes KTlW after structural relaxation. The functional is GGA-PBE.

Crystal system: cubic

Unit cell a=7.6397 b=7.6397 c=7.6397 alpha=90.00 beta=90.00 gamma=90.00
Space group F-43m (No. 216)
Symmetry-distinct sites (fractional):
K  0.0000  0.0000  0.0000 [4 per cell]
Tl  0.2500  0.2500  0.7500 [4 per cell]
W  0.2500  0.2500  0.2500 [4 per cell]

The structure with the least stability is model B.

Model A:
This record from OQMD via LeMat-Bulk describes K2W after structural relaxation. The functional is GGA-PBE.

Crystal system: hexagonal

Unit cell a=7.6699 b=7.6699 c=9.5703 alpha=90.00 beta=90.00 gamma=120.00
Space group P6_3/mmc (No. 194)
Symmetry-distinct sites (fractional):
K  0.0000  0.0000  0.0000 [2 per cell]
K  0.1885  0.3769  0.2500 [6 per cell]
W  0.3333  0.6667  0.6395 [4 per cell]

Model B:
This record from OQMD via LeMat-Bulk describes K2W after structural relaxation. The functional is GGA-PBE.

Crystal system: cubic

Unit cell a=15.7321 b=15.7321 c=15.7321 alpha=90.00 beta=90.00 gamma=90.00
Space group Fd-3m (No. 227, origin choice 2)
Symmetry-distinct sites (fractional):
K  0.0000  0.0000  0.0000 [16 per cell]
W  0.1250  0.1250  0.1250 [8 per cell]

The structure with the least stability is model B.

Model A:
This record from OQMD via LeMat-Bulk describes KZr after structural relaxation. The functional is GGA-PBE.

Crystal system: hexagonal

Unit cell a=8.3824 b=8.3824 c=5.1553 alpha=90.00 beta=90.00 gamma=120.00
Space group P-6m2 (No. 187)
Symmetry-distinct sites (fractional):
K  0.0000  0.0000  0.0000 [1 per cell]
K  0.3615  0.1807  0.5000 [3 per cell]
Zr  0.1095  0.5547  0.0000 [3 per cell]
Zr  0.3333  0.6667  0.5000 [1 per cell]

Model B:
This record from OQMD via LeMat-Bulk describes KZr after structural relaxation. The functional is GGA-PBE.

Crystal system: hexagonal

Unit cell a=3.2145 b=3.2145 c=6.9728 alpha=90.00 beta=90.00 gamma=120.00
Space group P-6m2 (No. 187)
Symmetry-distinct sites (fractional):
K  0.0000  0.0000  0.0000 [1 per cell]
Zr  0.6667  0.3333  0.5000 [1 per cell]

The structure with the least stability is model B.

Model A:
This record from OQMD via LeMat-Bulk describes K2Zr after structural relaxation. The functional is GGA-PBE.

Crystal system: cubic

Unit cell a=9.8766 b=9.8766 c=9.8766 alpha=90.00 beta=90.00 gamma=90.00
Space group Fd-3m (No. 227, origin choice 2)
Symmetry-distinct sites (fractional):
K  0.0000  0.0000  0.0000 [16 per cell]
Zr  0.1250  0.1250  0.6250 [8 per cell]

Model B:
This record from OQMD via LeMat-Bulk describes K2Zr after structural relaxation. The functional is GGA-PBE.

Crystal system: cubic

Unit cell a=16.9364 b=16.9364 c=16.9364 alpha=90.00 beta=90.00 gamma=90.00
Space group Fd-3m (No. 227, origin choice 2)
Symmetry-distinct sites (fractional):
K  0.0000  0.0000  0.0000 [16 per cell]
Zr  0.1250  0.1250  0.1250 [8 per cell]

The structure with the least stability is model B.

Model A:
This record from OQMD via LeMat-Bulk describes La after structural relaxation. The functional is GGA-PBE.

Crystal system: cubic

Unit cell a=8.9688 b=8.9688 c=8.9688 alpha=90.00 beta=90.00 gamma=90.00
Space group P4_132 (No. 213)
Symmetry-distinct sites (fractional):
La  0.0434  0.1250  0.7934 [12 per cell]
La  0.0640  0.9360  0.4360 [8 per cell]

Model B:
This record from OQMD via LeMat-Bulk describes La after structural relaxation. The functional is GGA-PBE.

Crystal system: cubic

Unit cell a=12.7703 b=12.7703 c=12.7703 alpha=90.00 beta=90.00 gamma=90.00
Space group I-43m (No. 217)
Symmetry-distinct sites (fractional):
La  0.0000  0.0000  0.0000 [2 per cell]
La  0.0436  0.3652  0.3652 [24 per cell]
La  0.0934  0.0934  0.2797 [24 per cell]
La  0.1817  0.1817  0.8183 [8 per cell]

The structure with the least stability is model B.

Model A:
This record from OQMD via LeMat-Bulk describes La after structural relaxation. The functional is GGA-PBE.

Crystal system: hexagonal

Unit cell a=3.7648 b=3.7648 c=6.0690 alpha=90.00 beta=90.00 gamma=120.00
Space group P6_3/mmc (No. 194)
Symmetry-distinct sites (fractional):
La  0.3333  0.6667  0.2500 [2 per cell]

Model B:
This record from OQMD via LeMat-Bulk describes La after structural relaxation. The functional is GGA-PBE.

Crystal system: cubic

Unit cell a=5.2684 b=5.2684 c=5.2684 alpha=90.00 beta=90.00 gamma=90.00
Space group Fm-3m (No. 225)
Symmetry-distinct sites (fractional):
La  0.0000  0.0000  0.0000 [4 per cell]

Model C:
This record from OQMD via LeMat-Bulk describes La after structural relaxation. The functional is GGA-PBE.

Crystal system: trigonal

Unit cell a=3.6989 b=3.6989 c=8.8815 alpha=90.00 beta=90.00 gamma=120.00
Space group R-3m (No. 166, hexagonal axes)
Symmetry-distinct sites (fractional):
La  0.0000  0.0000  0.0000 [3 per cell]

The structure with the least stability is model A.

Model A:
This record from OQMD via LeMat-Bulk describes La after structural relaxation. The functional is GGA-PBE.

Crystal system: orthorhombic

Unit cell a=6.0900 b=12.4328 c=3.8082 alpha=90.00 beta=90.00 gamma=90.00
Space group Cmce (No. 64)
Symmetry-distinct sites (fractional):
La  0.0000  0.1294  0.0709 [8 per cell]

Model B:
This record from OQMD via LeMat-Bulk describes La after structural relaxation. The functional is GGA-PBE.

Crystal system: trigonal

Unit cell a=4.6217 b=4.6217 c=11.5768 alpha=90.00 beta=90.00 gamma=120.00
Space group R-3m (No. 166, hexagonal axes)
Symmetry-distinct sites (fractional):
La  0.0000  0.0000  0.2370 [6 per cell]

The structure with the least stability is model B.

Model A:
This record from OQMD via LeMat-Bulk describes La after structural relaxation. The functional is GGA-PBE.

Crystal system: orthorhombic

Unit cell a=3.7185 b=6.5938 c=6.0811 alpha=90.00 beta=90.00 gamma=90.00
Space group Cmcm (No. 63)
Symmetry-distinct sites (fractional):
La  0.0000  0.1467  0.2500 [4 per cell]

Model B:
This record from OQMD via LeMat-Bulk describes La after structural relaxation. The functional is GGA-PBE.

Crystal system: cubic

Unit cell a=4.2279 b=4.2279 c=4.2279 alpha=90.00 beta=90.00 gamma=90.00
Space group Im-3m (No. 229)
Symmetry-distinct sites (fractional):
La  0.0000  0.0000  0.0000 [2 per cell]

Model C:
This record from OQMD via LeMat-Bulk describes La after structural relaxation. The functional is GGA-PBE.

Crystal system: trigonal

Unit cell a=3.7609 b=3.7609 c=27.0885 alpha=90.00 beta=90.00 gamma=120.00
Space group R-3m (No. 166, hexagonal axes)
Symmetry-distinct sites (fractional):
La  0.0000  0.0000  0.0000 [3 per cell]
La  0.0000  0.0000  0.2230 [6 per cell]

The structure with the least stability is model B.

Model A:
This record from OQMD via LeMat-Bulk describes La after structural relaxation. The functional is GGA-PBE.

Crystal system: cubic

Unit cell a=6.6059 b=6.6059 c=6.6059 alpha=90.00 beta=90.00 gamma=90.00
Space group Pm-3n (No. 223)
Symmetry-distinct sites (fractional):
La  0.0000  0.0000  0.0000 [2 per cell]
La  0.0000  0.2500  0.5000 [6 per cell]

Model B:
This record from OQMD via LeMat-Bulk describes La after structural relaxation. The functional is GGA-PBE.

Crystal system: trigonal

Unit cell a=4.6049 b=4.6049 c=5.8667 alpha=90.00 beta=90.00 gamma=120.00
Space group P3_121 (No. 152)
Symmetry-distinct sites (fractional):
La  0.0000  0.2947  0.1667 [3 per cell]

The structure with the least stability is model B.

Model A:
This record from OQMD via LeMat-Bulk describes La after structural relaxation. The functional is GGA-PBE.

Crystal system: tetragonal

Unit cell a=6.1521 b=6.1521 c=3.6933 alpha=90.00 beta=90.00 gamma=90.00
Space group I4_1/amd (No. 141, origin choice 2)
Symmetry-distinct sites (fractional):
La  0.0000  0.2500  0.3750 [4 per cell]

Model B:
This record from OQMD via LeMat-Bulk describes La after structural relaxation. The functional is GGA-PBE.

Crystal system: tetragonal

Unit cell a=3.7509 b=3.7509 c=5.2512 alpha=90.00 beta=90.00 gamma=90.00
Space group I4/mmm (No. 139)
Symmetry-distinct sites (fractional):
La  0.0000  0.0000  0.0000 [2 per cell]

The structure with the least stability is model A.